A geometry-optimized Pm2SI2 structure. Source: Alexandria via LeMat-Bulk, functional PBE.

Cell and atoms, written as POSCAR:
```
Pm2SI2
1.0
7.259 0.000 0.000
0.000 4.191 0.000
-2.691 0.000 11.777
Pm S I
4 2 4
Cartesian
1.210 0.000 1.457 Pm
-0.272 2.095 10.320 Pm
4.839 2.095 1.457 Pm
3.357 0.000 10.320 Pm
0.000 2.095 0.000 S
3.629 0.000 0.000 S
-1.482 0.000 8.220 I
2.420 2.095 3.557 I
2.148 2.095 8.220 I
6.049 0.000 3.557 I
```

The calculation puts the raw formation energy at -1.672 eV/atom. The total magnetic moment comes out at 0.00 Bohr magnetons per cell.

---

A geometry-optimized MgCdSi2 structure. Source: Alexandria via LeMat-Bulk, functional PBE.

Cell and atoms, written as POSCAR:
```
MgCdSi2
1.0
2.859 0.000 0.000
-1.430 2.476 0.000
0.000 0.000 32.119
Mg Cd Si
3 3 6
Cartesian
0.000 0.000 0.000 Mg
0.000 1.651 21.412 Mg
1.430 0.825 10.706 Mg
0.000 0.000 16.059 Cd
0.000 1.651 5.353 Cd
1.430 0.825 26.766 Cd
0.000 0.000 8.303 Si
0.000 0.000 23.816 Si
0.000 1.651 13.110 Si
0.000 1.651 29.715 Si
1.430 0.825 2.404 Si
1.430 0.825 19.009 Si
```

The calculation puts the raw formation energy at 0.315 eV/atom. The total magnetic moment comes out at 0.00 Bohr magnetons per cell. As for the relative energy among the computed polymorphs: 9.7 kJ per mole of atoms.